1.
Below is a relaxed GePbSe2 crystal, with properties calculated at the PBE level.

Properties
**Final energy**: -3.990 eV/atom
**V**: 288.2 Å³ per cell
**E_form (uncorrected)**: -166 meV per atom

CIF file:
```
data_GePbSe2
_chemical_formula_sum 'Ge2 Pb2 Se4'
_cell_length_a 6.6058
_cell_length_b 6.6058
_cell_length_c 8.0898
_cell_angle_alpha 65.90
_cell_angle_beta 65.90
_cell_angle_gamma 90.00
_symmetry_space_group_name_H-M 'P 1'
_symmetry_Int_Tables_number 1
_symmetry_space_group_name_Hall 'P 1'
loop_
_atom_site_label
_atom_site_type_symbol
_atom_site_fract_x
_atom_site_fract_y
_atom_site_fract_z
_atom_site_occupancy
Ge1 Ge 0.2500 0.7500 0.5000 1
Se1 Se 0.3750 0.4107 0.7500 1
Ge2 Ge 0.5000 0.5000 0.0000 1
Pb1 Pb 0.0000 0.0000 0.0000 1
Se2 Se 0.8750 0.8393 0.7500 1
Se3 Se 0.5893 0.1250 0.2500 1
Pb2 Pb 0.7500 0.2500 0.5000 1
Se4 Se 0.1607 0.6250 0.2500 1
```

***

2.
Below is a relaxed GePb3Se4 crystal, with properties calculated at the PBE level.

Properties
**Final energy**: -4.185 eV/atom
**V**: 234.8 Å³ per cell
**E_form (uncorrected)**: -475 meV per atom

CIF file:
```
data_GePb3Se4
_chemical_formula_sum 'Ge1 Pb3 Se4'
_cell_length_a 6.1696
_cell_length_b 6.1696
_cell_length_c 6.1696
_cell_angle_alpha 89.74
_cell_angle_beta 89.74
_cell_angle_gamma 89.74
_symmetry_space_group_name_H-M 'P 1'
_symmetry_Int_Tables_number 1
_symmetry_space_group_name_Hall 'P 1'
loop_
_atom_site_label
_atom_site_type_symbol
_atom_site_fract_x
_atom_site_fract_y
_atom_site_fract_z
_atom_site_occupancy
Pb1 Pb 0.7548 0.2554 0.7541 1
Se1 Se 0.2514 0.2513 0.7038 1
Ge1 Ge 0.2802 0.2802 0.2802 1
Pb2 Pb 0.2554 0.7541 0.7548 1
Se2 Se 0.7491 0.7491 0.7491 1
Se3 Se 0.7038 0.2514 0.2513 1
Se4 Se 0.2513 0.7038 0.2514 1
Pb3 Pb 0.7541 0.7548 0.2554 1
```

***

3.
Below is a relaxed Ge6PbSe8 crystal, with properties calculated at the PBE level.

Properties
**Final energy**: -4.131 eV/atom
**V**: 408.4 Å³ per cell
**E_form (uncorrected)**: -179 meV per atom

CIF file:
```
data_Ge6PbSe8
_chemical_formula_sum 'Ge6 Pb1 Se8'
_cell_length_a 7.5004
_cell_length_b 7.5004
_cell_length_c 7.5004
_cell_angle_alpha 81.18
_cell_angle_beta 81.18
_cell_angle_gamma 81.18
_symmetry_space_group_name_H-M 'P 1'
_symmetry_Int_Tables_number 1
_symmetry_space_group_name_Hall 'P 1'
loop_
_atom_site_label
_atom_site_type_symbol
_atom_site_fract_x
_atom_site_fract_y
_atom_site_fract_z
_atom_site_occupancy
Se1 Se 0.3647 0.1165 0.7939 1
Se2 Se 0.7140 0.7140 0.7140 1
Ge1 Ge 0.8358 0.6354 0.3902 1
Ge2 Ge 0.6098 0.1642 0.3646 1
Se3 Se 0.7939 0.3647 0.1165 1
Ge3 Ge 0.3902 0.8358 0.6354 1
Pb1 Pb 0.0000 0.0000 0.0000 1
Se4 Se 0.6353 0.8835 0.2061 1
Se5 Se 0.1165 0.7939 0.3647 1
Se6 Se 0.2860 0.2860 0.2860 1
Ge4 Ge 0.6354 0.3902 0.8358 1
Ge5 Ge 0.1642 0.3646 0.6098 1
Se7 Se 0.2061 0.6353 0.8835 1
Se8 Se 0.8835 0.2061 0.6353 1
Ge6 Ge 0.3646 0.6098 0.1642 1
```

***

Among the records above, which one has the lowest final energy?
GePb3Se4

***

Look up the V of the third one.
408.4 Å³ per cell